NaCr2Mo: single point on PBEsol structure, meta-GGA SCAN.

Cell lengths 4.3936, 4.3936, 4.3936 Å; angles 60.00, 60.00, 60.00 degrees
Atoms (fractional coordinates):
Cr  0.7500  0.7500  0.7500
Cr  0.2500  0.2500  0.2500
Na  0.0000  0.0000  0.0000
Mo  0.5000  0.5000  0.5000

Output
Space group: Fm-3m, No. 225
E_form, kJ/mol of formula units: 271.2
E_tot, eV per cell: -73.1
Volume, Å³/f.u.: 60.0